No. 1
{
  "formula": "AcPrEr2",
  "functional": "GGA-PBE",
  "state": "relaxed",
  "crystal_system": "trigonal",
  "relative_energy_ev_per_atom": 0.024,
  "e_form_ev_per_atom": 0.07,
  "mass_density_g_cm3": 8.3,
  "spacegroup": "R3m (160)",
  "lattice_angstrom": [[3.705, 0.000, 0.000], [1.853, 3.209, 0.000], [1.853, 1.070, 11.877]],
  "species": ["Er", "Er", "Ac", "Pr"],
  "frac_coords": [[0.253, 0.253, 0.242], [0.080, 0.080, 0.759], [0.500, 0.500, 0.499], [0.666, 0.666, 0.001]]
}


No. 2
{
  "formula": "ZrIn2GeRu",
  "functional": "GGA-PBE",
  "state": "relaxed",
  "crystal_system": "tetragonal",
  "e_form_ev_per_atom": 0.29,
  "mass_density_g_cm3": 6.4,
  "spacegroup": "P4/mmm (123)",
  "lattice_angstrom": [[-0.580, -0.502, 5.056], [4.853, -0.570, 0.500], [0.535, 5.055, 0.563]],
  "species": ["Zr", "In", "In", "Ge", "Ru"],
  "frac_coords": [[0.000, 0.500, 0.000], [0.500, 0.000, 0.000], [0.000, 0.000, 0.500], [0.500, 0.500, 0.500], [0.000, 0.000, 0.000]]
}


No. 3
{
  "formula": "ScIr3Se",
  "functional": "GGA-PBE",
  "state": "relaxed",
  "e_form_raw_kj_per_mol_fu": 809,
  "crystal_system": "cubic",
  "relative_energy_ev_per_atom": 1.088,
  "mass_density_g_cm3": 11.0,
  "spacegroup": "Pm-3m (221)",
  "lattice_angstrom": [[-3.802, 2.494, -1.315], [-2.498, -4.004, -0.369], [-1.306, 0.398, 4.532]],
  "species": ["Se", "Ir", "Ir", "Ir", "Sc"],
  "frac_coords": [[0.500, 0.500, 0.500], [0.000, 0.000, 0.500], [0.000, 0.500, 0.000], [0.500, 0.000, 0.000], [0.000, 0.000, 0.000]]
}


No. 4
{
  "formula": "CaNdY2",
  "functional": "GGA-PBE",
  "state": "relaxed",
  "crystal_system": "trigonal",
  "relative_energy_ev_per_atom": 0.000,
  "e_form_ev_per_atom": 0.05,
  "mass_density_g_cm3": 4.3,
  "spacegroup": "R3m (160)",
  "lattice_angstrom": [[3.649, 0.000, 0.000], [1.824, 3.160, 0.000], [1.824, 1.053, 12.106]],
  "species": ["Y", "Y", "Ca", "Nd"],
  "frac_coords": [[0.254, 0.254, 0.239], [0.080, 0.080, 0.761], [0.501, 0.501, 0.498], [0.666, 0.666, 0.001]]
}


| no. | calculated volume (Å³/atom) | raw total energy (Ha/atom) |
| --- | --- | --- |
| 1 | 35.306 | -0.1630 |
| 2 | 25.692 | -0.1945 |
| 3 | 21.211 | -0.2059 |
| 4 | 34.893 | -0.1790 |